Record 1
Material: SbPdS2F
Method: DFT, PBE-GGA
State: optimized geometry

Summary:
Raw total energy in eV per cell: -20.97
Formation energy without anion corrections in meV/atom: -305
Space-group type: P4/mmm (123)

```
SbPdS2F
1.0
-3.173 1.837 3.052
-2.269 -3.383 -0.322
2.382 -1.945 3.647
Sb Pd F S
1 1 1 2
direct
0.500 0.500 0.500
0.000 0.000 0.000
0.000 0.500 0.000
0.000 0.000 0.500
0.500 0.000 0.000
```

Record 2
Material: Y3MgIn2
Method: DFT, PBE-GGA
State: optimized geometry

Summary:
Raw total energy in eV per cell: -28.91
Space-group type: Cmmm (65)
Formation energy from the elements in eV per atom: -0.408

```
Y3MgIn2
1.0
-3.138 -0.867 -1.923
1.179 -5.157 0.401
-4.683 2.176 6.661
In Mg Y
2 1 3
direct
0.000 0.660 0.320
0.000 0.340 0.680
0.000 0.000 0.000
0.500 0.170 0.339
0.500 0.830 0.661
0.500 0.500 0.000
```

Record 3
Material: B5C7
Method: DFT, PBE-GGA
State: optimized geometry

Summary:
Raw total energy in eV per cell: -93.62
Space-group type: Cm (8)
Formation energy from the elements in eV per atom: 0.361

```
B5C7
1.0
-1.562 2.245 -5.664
-0.696 -0.009 -6.251
-4.525 -2.163 1.636
B C
5 7
direct
0.327 0.327 0.665
0.988 0.988 0.496
0.600 0.600 0.548
0.333 0.333 0.168
0.995 0.995 0.996
0.918 0.918 0.713
0.243 0.243 0.367
0.596 0.596 0.049
0.671 0.671 0.321
0.670 0.670 0.850
0.241 0.241 0.872
0.918 0.918 0.205
```

Record 4
Material: Sm2GaCu2Pd5
Method: DFT, PBE-GGA
State: optimized geometry

Summary:
Raw total energy in eV per cell: -106.06
Space-group type: P4/mbm (127)
Formation energy from the elements in eV per atom: -0.641

```
Sm2GaCu2Pd5
1.0
-2.638 -2.677 0.792
3.143 -5.261 -7.312
6.180 -4.374 5.804
Ga Pd Cu Sm
2 10 4 4
direct
0.000 0.500 0.500
0.000 0.000 0.000
0.500 0.565 0.702
0.500 0.500 0.000
0.500 0.000 0.500
0.500 0.435 0.298
0.500 0.065 0.798
0.500 0.702 0.435
0.500 0.202 0.065
0.500 0.935 0.202
0.500 0.798 0.935
0.500 0.298 0.565
0.000 0.377 0.123
0.000 0.623 0.877
0.000 0.123 0.623
0.000 0.877 0.377
0.000 0.825 0.675
0.000 0.325 0.825
0.000 0.175 0.325
0.000 0.675 0.175
```

Record 5
Material: TcAs2Se
Method: DFT, PBE-GGA
State: optimized geometry

Summary:
Raw total energy in eV per cell: -22.62
Formation energy without anion corrections in meV/atom: 133
Space-group type: Pm (6)

```
TcAs2Se
1.0
4.419 0.000 0.000
0.000 4.303 0.021
0.000 1.527 4.052
Tc As Se
1 2 1
direct
0.500 0.786 0.786
0.500 0.175 0.174
0.000 0.959 0.962
0.000 0.579 0.578
```

Record 6
Material: Sc6Sn2SbC
Method: DFT, PBE-GGA
State: optimized geometry

Summary:
Raw total energy in eV per cell: -62.33
Formation energy without anion corrections in meV/atom: -299
Space-group type: P4/mmm (123)

```
Sc6Sn2SbC
1.0
-1.493 4.338 -1.948
-2.246 -2.443 -3.719
-8.119 -0.458 5.204
Sc Sn Sb C
6 2 1 1
direct
0.500 0.500 0.719
0.000 0.500 0.000
0.000 0.500 0.500
0.500 0.500 0.281
0.500 0.000 0.000
0.500 0.000 0.500
0.000 0.000 0.742
0.000 0.000 0.258
0.500 0.500 0.000
0.500 0.500 0.500
```

Record 7
Material: CaPrSm2Te4
Method: DFT, PBE-GGA
State: optimized geometry

Summary:
Raw total energy in eV per cell: -40.39
Formation energy without anion corrections in meV/atom: -1451
Space-group type: P2/m (10)

```
CaPrSm2Te4
1.0
4.444 0.000 0.000
0.000 7.755 -0.181
0.000 2.705 7.313
Te Pr Ca Sm
4 1 1 2
direct
0.500 0.753 0.244
0.000 0.751 0.754
0.500 0.247 0.756
0.000 0.249 0.246
0.000 0.500 0.500
0.500 0.500 0.000
0.500 0.000 0.500
0.000 0.000 0.000
```

Record 8
Material: Ac2HgBi3Pd4
Method: DFT, PBE-GGA
State: optimized geometry

Summary:
Raw total energy in eV per cell: -47.29
Space-group type: P-4m2 (115)
Formation energy from the elements in eV per atom: -0.635

```
Ac2HgBi3Pd4
1.0
4.848 0.000 0.000
0.000 4.848 0.000
0.000 0.000 10.882
Bi Ac Hg Pd
3 2 1 4
direct
0.500 0.000 0.872
0.000 0.500 0.128
0.000 0.000 0.500
0.000 0.500 0.763
0.500 0.000 0.237
0.500 0.500 0.500
0.500 0.000 0.626
0.000 0.500 0.374
0.500 0.500 0.000
0.000 0.000 0.000
```

Record 9
Material: KAgAs
Method: DFT, PBE-GGA
State: optimized geometry

Summary:
Raw total energy in eV per cell: -8.85
Space-group type: Imm2 (44)
Formation energy from the elements in eV per atom: -0.083

```
KAgAs
1.0
-0.467 -6.313 1.050
2.950 -3.763 4.280
-3.495 5.237 -1.239
K Ag As
1 1 1
direct
0.671 0.671 0.000
0.941 0.941 0.000
0.389 0.389 0.000
```

Record 10
Material: VSeS2
Method: DFT, PBE-GGA
State: optimized geometry

Summary:
Raw total energy in eV per cell: -45.45
Formation energy without anion corrections in meV/atom: -467
Space-group type: P2/c (13)

```
VSeS2
1.0
3.268 0.000 0.000
0.000 5.617 0.059
0.000 -0.717 7.803
S Se V
4 2 2
direct
0.514 0.016 0.545
0.514 0.392 0.911
0.050 0.516 0.545
0.050 0.892 0.911
0.282 0.454 0.228
0.282 0.954 0.228
0.544 0.704 0.728
0.020 0.204 0.728
```

Record 11
Material: YMnBe4
Method: DFT, PBE-GGA
State: optimized geometry

Summary:
Raw total energy in eV per cell: -30.47
Space-group type: F-43m (216)
Formation energy from the elements in eV per atom: 0.012

```
YMnBe4
1.0
0.000 3.298 3.298
3.298 0.000 3.298
3.298 3.298 0.000
Be Y Mn
4 1 1
direct
0.864 0.379 0.379
0.379 0.379 0.864
0.379 0.864 0.379
0.379 0.379 0.379
0.000 0.000 0.000
0.750 0.750 0.750
```

Record 12
Material: Pr6NiIr2I3
Method: DFT, PBE-GGA
State: optimized geometry

Summary:
Raw total energy in eV per cell: -67.20
Formation energy without anion corrections in meV/atom: -865
Space-group type: C2/m (12)

```
Pr6NiIr2I3
1.0
-2.637 -0.906 6.753
0.916 -5.784 -4.370
8.188 1.285 2.052
Pr Ni Ir I
6 1 2 3
direct
0.394 0.061 0.185
0.729 0.729 0.185
0.939 0.606 0.815
0.271 0.271 0.815
0.061 0.394 0.185
0.606 0.939 0.815
0.000 0.000 0.000
0.333 0.667 0.000
0.667 0.333 0.000
0.500 0.500 0.500
0.167 0.833 0.500
0.833 0.167 0.500
```

Record 13
Material: Ho4CdCu
Method: DFT, PBE-GGA
State: optimized geometry

Summary:
Raw total energy in eV per cell: -24.27
Space-group type: P4/mmm (123)
Formation energy from the elements in eV per atom: -0.157

```
Ho4CdCu
1.0
3.505 -0.001 0.000
0.001 3.505 0.000
-0.001 -0.001 12.741
Ho Cd Cu
4 1 1
direct
0.500 0.500 0.834
0.000 0.000 0.634
0.000 0.000 0.366
0.500 0.500 0.166
0.000 0.000 0.000
0.500 0.500 0.500
```

Record 14
Material: Hf3MnFe
Method: DFT, PBE-GGA
State: optimized geometry

Summary:
Raw total energy in eV per cell: -43.85
Space-group type: Pm-3m (221)
Formation energy from the elements in eV per atom: 0.728

```
Hf3MnFe
1.0
-3.540 1.407 -2.713
-2.092 -4.141 0.582
-2.227 1.655 3.764
Hf Fe Mn
3 1 1
direct
0.000 0.000 0.500
0.000 0.500 0.000
0.500 0.000 0.000
0.000 0.000 0.000
0.500 0.500 0.500
```

Record 15
Material: CrInAs2
Method: DFT, PBE-GGA
State: optimized geometry

Summary:
Raw total energy in eV per cell: -21.26
Space-group type: Imm2 (44)
Formation energy from the elements in eV per atom: 0.100

```
CrInAs2
1.0
8.702 0.242 -0.068
7.471 4.468 0.068
-8.032 -2.545 2.193
As Cr In
2 1 1
direct
0.338 0.838 0.500
0.023 0.023 0.000
0.455 0.455 0.000
0.684 0.184 0.500
```

Record 16
Material: Pr2SmGa2Ag2
Method: DFT, PBE-GGA
State: optimized geometry

Summary:
Raw total energy in eV per cell: -28.66
Space-group type: R-3m (166)
Formation energy from the elements in eV per atom: -0.375

```
Pr2SmGa2Ag2
1.0
-0.749 -4.360 1.513
3.057 -2.025 2.901
-3.925 1.200 8.741
Ag Pr Sm Ga
2 2 1 2
direct
0.605 0.605 0.184
0.395 0.395 0.816
0.125 0.125 0.624
0.875 0.875 0.376
0.000 0.000 0.000
0.737 0.737 0.789
0.263 0.263 0.211
```

Record 17
Material: Ac5TbNd4
Method: DFT, PBE-GGA
State: optimized geometry

Summary:
Raw total energy in eV per cell: -43.93
Space-group type: P4/mmm (123)
Formation energy from the elements in eV per atom: 0.032

```
Ac5TbNd4
1.0
3.890 0.000 0.000
0.000 3.890 0.000
0.000 0.000 26.076
Ac Nd Tb
5 4 1
direct
0.500 0.500 0.702
0.500 0.500 0.298
0.500 0.500 0.097
0.500 0.500 0.500
0.500 0.500 0.903
0.000 0.000 0.399
0.000 0.000 0.197
0.000 0.000 0.601
0.000 0.000 0.803
0.000 0.000 0.000
```

Record 18
Material: BeOs3Cl
Method: DFT, PBE-GGA
State: optimized geometry

Summary:
Raw total energy in eV per cell: -30.72
Formation energy without anion corrections in meV/atom: 1708
Space-group type: Pm-3m (221)

```
BeOs3Cl
1.0
-3.403 0.064 2.505
1.108 -3.750 1.602
2.247 1.947 3.003
Os Cl Be
3 1 1
direct
0.000 0.000 0.500
0.000 0.500 0.000
0.500 0.000 0.000
0.500 0.500 0.500
0.000 0.000 0.000
```

Record 19
Material: La12Pm5In2
Method: DFT, PBE-GGA
State: optimized geometry

Summary:
Raw total energy in eV per cell: -89.16
Space-group type: C2/m (12)
Formation energy from the elements in eV per atom: -0.042

```
La12Pm5In2
1.0
9.415 0.000 0.000
-4.708 11.288 -1.877
0.000 -5.333 7.111
La Pm In
12 5 2
direct
0.959 0.292 0.051
0.825 0.256 0.577
0.570 0.744 0.423
0.430 0.256 0.577
0.041 0.708 0.949
0.078 0.157 0.266
0.557 0.114 0.784
0.443 0.886 0.216
0.922 0.843 0.734
0.667 0.708 0.949
0.175 0.744 0.423
0.333 0.292 0.051
0.000 0.000 0.500
0.767 0.534 0.114
0.692 0.385 0.364
0.233 0.466 0.886
0.308 0.615 0.636
0.670 0.000 0.000
0.330 0.000 0.000
```

Record 20
Material: HfBeRu3
Method: DFT, PBE-GGA
State: optimized geometry

Summary:
Raw total energy in eV per cell: -32.33
Space-group type: Pm-3m (221)
Formation energy from the elements in eV per atom: 1.835

```
HfBeRu3
1.0
4.744 0.000 0.000
0.000 4.744 0.000
0.000 0.000 4.744
Ru Hf Be
3 1 1
direct
0.000 0.500 0.000
0.000 0.000 0.500
0.500 0.000 0.000
0.000 0.000 0.000
0.500 0.500 0.500
```